(1)
## GaGe2Mo4 (PBE)

Data for a geometry-optimized GaGe2Mo4 structure.

It has space group I4/mmm (No. 139), with a = 4.5365 Å, b = 4.5365 Å, c = 13.0881 Å, α = 90.00°, β = 90.00° and γ = 90.00°. The asymmetric unit holds Ga at (0.0000, 0.0000, 0.0000), Ge at (0.0000, 0.0000, 0.3783), Mo at (0.0000, 0.0000, 0.1858) and Mo at (0.0000, 0.5000, 0.0000).

The calculation puts the calculated formation energy at 1.1141 eV per atom. Its uncorrected energy is -6.827 eV per atom.

(2)
## Ga40GeMo8 (PBE)

Data for a geometry-optimized Ga40GeMo8 structure.

It has space group R-3 (No. 148, hexagonal axes), with a = 14.0300 Å, b = 14.0300 Å, c = 15.4308 Å, α = 90.00°, β = 90.00° and γ = 120.00°. The asymmetric unit holds Ga at (0.0000, 0.0000, 0.0000), Ga at (0.0000, 0.5000, 0.5000), Ga at (0.0030, 0.8186, 0.2794), Ga at (0.0120, 0.3207, 0.2657), Ga at (0.0131, 0.1285, 0.1542), Ga at (0.0133, 0.8561, 0.6145), Ga at (0.0269, 0.4900, 0.1611), Ga at (0.0898, 0.5563, 0.6697), Ge at (0.0000, 0.0000, 0.5000), Mo at (0.0000, 0.0000, 0.2826) and Mo at (0.0170, 0.3118, 0.0953).

The calculation puts the calculated formation energy at -0.1397 eV per atom. Its uncorrected energy is -4.473 eV per atom.

(3)
## Ga3GeMo (PBE)

Data for a geometry-optimized Ga3GeMo structure.

It has space group Pm-3m (No. 221), with a = 4.8944 Å, b = 4.8944 Å, c = 4.8944 Å, α = 90.00°, β = 90.00° and γ = 90.00°. The asymmetric unit holds Ga at (0.0000, 0.0000, 0.5000), Ge at (0.5000, 0.5000, 0.5000) and Mo at (0.0000, 0.0000, 0.0000).

The calculation puts the calculated formation energy at 0.5871 eV per atom. Its excess energy over the best structure of this formula in the dataset is 0 meV/atom. Its uncorrected energy is -4.319 eV per atom.

- What is the formula in the second record?
  Ga40GeMo8

- What is the uncorrected energy in the first record?
  -6.827 eV per atom

- Look up the uncorrected energy of the first one.
  -6.827 eV per atom